[1]
# MnZn2NiB

MnZn2NiB after structural relaxation (GGA-PBE, Alexandria via LeMat-Bulk).

* total DFT energy (no corrections): -16.00 eV per cell
* formation energy: 1636 meV per atom

Lattice parameters (Å, degrees): 4.702 4.702 4.356 90.00 90.00 90.00
Space group P4/mmm (No. 123)
Symmetry-distinct sites (fractional):
Mn (0.000, 0.000, 0.000) [1 per cell]
Zn (0.000, 0.500, 0.000) [2 per cell]
Ni (0.000, 0.000, 0.500) [1 per cell]
B (0.500, 0.500, 0.500) [1 per cell]

***

[2]
# KRb2AlCl6

KRb2AlCl6 after structural relaxation (GGA-PBE, Alexandria via LeMat-Bulk).

* uncorrected formation energy: -1799 meV per atom
* total DFT energy (no corrections): -143.37 eV per cell

Lattice parameters (Å, degrees): 10.671 10.671 10.671 90.00 90.00 90.00
Space group Fm-3m (No. 225)
Symmetry-distinct sites (fractional):
K (0.000, 0.000, 0.000) [4 per cell]
Rb (0.250, 0.250, 0.250) [8 per cell]
Al (0.000, 0.000, 0.500) [4 per cell]
Cl (0.000, 0.000, 0.280) [24 per cell]

***

[3]
# Te2MoAu

Te2MoAu after structural relaxation (GGA-PBE, Alexandria via LeMat-Bulk).

* uncorrected formation energy: 601 meV per atom
* total DFT energy (no corrections): -35.98 eV per cell

Lattice parameters (Å, degrees): 4.162 4.162 10.265 90.00 90.00 90.00
Space group I-4m2 (No. 119)
Symmetry-distinct sites (fractional):
Te (0.000, 0.000, 0.000) [2 per cell]
Te (0.000, 0.500, 0.250) [2 per cell]
Mo (0.000, 0.000, 0.500) [2 per cell]
Au (0.000, 0.500, 0.750) [2 per cell]

***

[4]
# AcCdS2O6

AcCdS2O6 after structural relaxation (GGA-PBE, Alexandria via LeMat-Bulk).

* uncorrected formation energy: -1660 meV per atom
* total DFT energy (no corrections): -178.87 eV per cell

Lattice parameters (Å, degrees): 5.4294 5.4294 20.8150 90.00 90.00 120.00
Space group R-3 (No. 148, hexagonal axes)
Symmetry-distinct sites (fractional):
Ac (0.0000, 0.0000, 0.0000) [3 per cell]
Cd (0.0000, 0.0000, 0.5000) [3 per cell]
S (0.0000, 0.0000, 0.2302) [6 per cell]
O (0.0002, 0.2609, 0.2607) [18 per cell]

***

- Among the records above, which one has the highest total DFT energy (no corrections)?
  MnZn2NiB